{"formula": "HoNpOs2", "functional": "GGA-PBE", "state": "optimized geometry", "lattice": [[0.000, 3.385, 3.385], [3.385, 0.000, 3.385], [3.385, 3.385, 0.000]], "species": ["Ho", "Np", "Os", "Os"], "frac_coords": [[0.000, 0.000, 0.000], [0.500, 0.500, 0.500], [0.250, 0.250, 0.250], [0.750, 0.750, 0.750]], "total_energy_ev_per_cell": -39.97, "delta_e_f_ev_per_atom": 0.0026, "polymorph_energy_kj_per_mol_atoms": 3.47}


{"formula": "HoNpOsRh", "functional": "GGA-PBE", "state": "optimized geometry", "lattice": [[0.000, 3.396, 3.396], [3.396, 0.000, 3.396], [3.396, 3.396, 0.000]], "species": ["Ho", "Np", "Os", "Rh"], "frac_coords": [[0.000, 0.000, 0.000], [0.500, 0.500, 0.500], [0.750, 0.750, 0.750], [0.250, 0.250, 0.250]], "total_energy_ev_per_cell": -37.17, "delta_e_f_ev_per_atom": -0.2665}


{"formula": "Ho4NpP5", "functional": "GGA-PBE", "state": "optimized geometry", "lattice": [[-1.988, 2.809, 9.960], [1.988, -2.809, 9.960], [1.988, 2.809, -9.960]], "species": ["Ho", "Ho", "Ho", "Ho", "Np", "P", "P", "P", "P", "P"], "frac_coords": [[0.101, 0.101, 0.000], [0.299, 0.299, 0.000], [0.701, 0.701, 0.000], [0.899, 0.899, 0.000], [0.500, 0.500, 0.000], [0.000, 0.500, 0.500], [0.201, 0.701, 0.500], [0.402, 0.902, 0.500], [0.598, 0.098, 0.500], [0.799, 0.299, 0.500]], "total_energy_ev_per_cell": -72.93, "delta_e_f_ev_per_atom": -1.4625}


{"formula": "HoNp3P4", "functional": "GGA-PBE", "state": "optimized geometry", "lattice": [[3.966, -5.602, 0.000], [3.966, 5.602, 0.000], [0.000, 0.000, 3.962]], "species": ["Ho", "Np", "Np", "Np", "P", "P", "P", "P"], "frac_coords": [[0.000, 0.000, 0.000], [0.000, 0.500, 0.500], [0.500, 0.000, 0.500], [0.500, 0.500, 0.000], [0.251, 0.749, 0.000], [0.253, 0.253, 0.500], [0.747, 0.747, 0.500], [0.749, 0.251, 0.000]], "total_energy_ev_per_cell": -73.47, "delta_e_f_ev_per_atom": -1.0544}


{"formula": "Ho2NpP3", "functional": "GGA-PBE", "state": "optimized geometry", "lattice": [[-1.988, 1.988, 8.414], [1.988, -1.988, 8.414], [1.988, 1.988, -8.414]], "species": ["Ho", "Ho", "Np", "P", "P", "P"], "frac_coords": [[0.168, 0.168, 0.000], [0.832, 0.832, 0.000], [0.500, 0.500, 0.000], [0.000, 0.000, 0.000], [0.335, 0.335, 0.000], [0.665, 0.665, 0.000]], "total_energy_ev_per_cell": -46.49, "delta_e_f_ev_per_atom": -1.3606}


{"formula": "HoNp2P3", "functional": "GGA-PBE", "state": "optimized geometry", "lattice": [[0.000, 5.606, 11.891], [3.964, 0.000, 11.891], [3.964, 5.606, 0.000]], "species": ["Ho", "Ho", "Ho", "Ho", "Np", "Np", "Np", "Np", "Np", "Np", "Np", "Np", "P", "P", "P", "P", "P", "P", "P", "P", "P", "P", "P", "P"], "frac_coords": [[0.042, 0.042, 0.208], [0.208, 0.208, 0.042], [0.792, 0.792, 0.958], [0.958, 0.958, 0.792], [0.124, 0.124, 0.626], [0.291, 0.291, 0.459], [0.374, 0.374, 0.876], [0.459, 0.459, 0.291], [0.541, 0.541, 0.709], [0.626, 0.626, 0.124], [0.709, 0.709, 0.541], [0.876, 0.876, 0.374], [0.042, 0.542, 0.211], [0.129, 0.621, 0.621], [0.211, 0.704, 0.042], [0.296, 0.789, 0.458], [0.379, 0.871, 0.871], [0.458, 0.958, 0.296], [0.542, 0.042, 0.704], [0.621, 0.129, 0.129], [0.704, 0.211, 0.542], [0.789, 0.296, 0.958], [0.871, 0.379, 0.379], [0.958, 0.458, 0.789]], "total_energy_ev_per_cell": -213.54, "delta_e_f_ev_per_atom": -1.1160}


> Number 3 is which compound?

Ho4NpP5